{"formula": "Ac3OsAu", "functional": "PBE", "state": "relaxed", "cell": [[-3.0226, -2.2911, 2.4851], [-5.7417, -5.5800, -7.9911], [1.7328, -8.0220, -1.1513]], "species": ["Ac", "Ac", "Ac", "Ac", "Ac", "Ac", "Os", "Os", "Au", "Au"], "fractional_positions": [[0.0216, 0.1918, 0.7650], [0.9784, 0.8082, 0.2350], [0.6462, 0.5021, 0.2055], [0.3538, 0.4979, 0.7945], [0.6867, 0.8604, 0.7662], [0.3133, 0.1396, 0.2338], [0.1641, 0.6884, 0.9834], [0.8359, 0.3116, 0.0166], [0.3382, 0.8132, 0.5104], [0.6618, 0.1868, 0.4896]], "total_energy_ev_per_atom": -5.6612, "mass_density_g_cm3": 9.86, "m_tot_mub_per_fu": 0.0, "formation_energy_ev_per_atom": -0.295}